The following is a DFT calculation (PBE with a Hubbard U) of MnPO4 after structural relaxation.

Cell and atoms, written as CIF:
```
data_MnPO4
_chemical_formula_sum 'Mn8 P8 O32'
_cell_length_a 9.472
_cell_length_b 7.687
_cell_length_c 10.262
_cell_angle_alpha 90.00
_cell_angle_beta 113.83
_cell_angle_gamma 90.00
_symmetry_space_group_name_H-M 'C 1 2/c 1'
_symmetry_Int_Tables_number 15
_symmetry_space_group_name_Hall '-C 2yc'
loop_
_atom_site_label
_atom_site_type_symbol
_atom_site_fract_x
_atom_site_fract_y
_atom_site_fract_z
_atom_site_occupancy
Mn1 Mn 0.221 0.059 0.423 1
P1 P 0.079 0.224 0.080 1
O1 O 0.105 0.238 0.473 1
O2 O 0.112 0.133 0.961 1
O3 O 0.128 0.416 0.097 1
O4 O 0.145 0.124 0.219 1
```

E ... -7.394 eV per atom
M_tot ... 31.946 μB/cell